No. 1
DFT (GGA-PBE) results for an optimized crystal structure of Sc2GaGePb.

CIF file:
```
data_Sc2GaGePb
_space_group_name_H-M_alt 'P 4/m m m'
_space_group_IT_number 123
_space_group_name_Hall '-P 4 2'
_cell_length_a 5.121
_cell_length_b 5.121
_cell_length_c 5.219
_cell_angle_alpha 90.00
_cell_angle_beta 90.00
_cell_angle_gamma 90.00
loop_
_atom_site_label
_atom_site_type_symbol
_atom_site_fract_x
_atom_site_fract_y
_atom_site_fract_z
Sc1 Sc 0.000 0.500 0.000
Ga1 Ga 0.000 0.000 0.000
Ge1 Ge 0.500 0.500 0.500
Pb1 Pb 0.000 0.000 0.500
```

Values from the calculation:
* energy: -22.7 eV/f.u.

=====

No. 2
DFT (GGA-PBE) results for an optimized crystal structure of Li3TiBi.

CIF file:
```
data_Li3TiBi
_space_group_name_H-M_alt 'P m -3 m'
_space_group_IT_number 221
_space_group_name_Hall '-P 4 2 3'
_cell_length_a 4.991
_cell_length_b 4.991
_cell_length_c 4.991
_cell_angle_alpha 90.00
_cell_angle_beta 90.00
_cell_angle_gamma 90.00
loop_
_atom_site_label
_atom_site_type_symbol
_atom_site_fract_x
_atom_site_fract_y
_atom_site_fract_z
Li1 Li 0.000 0.000 0.500
Ti1 Ti 0.500 0.500 0.500
Bi1 Bi 0.000 0.000 0.000
```

Values from the calculation:
* energy: -14.4 eV/f.u.
* energy above the lowest structure with this stoichiometry: 0.0 meV per atom

=====

No. 3
DFT (GGA-PBE) results for an optimized crystal structure of SrTbPm.

CIF file:
```
data_SrTbPm
_space_group_name_H-M_alt 'P 3 m 1'
_space_group_IT_number 156
_space_group_name_Hall 'P 3 -2"'
_cell_length_a 3.7628
_cell_length_b 3.7628
_cell_length_c 9.3752
_cell_angle_alpha 90.00
_cell_angle_beta 90.00
_cell_angle_gamma 120.00
loop_
_atom_site_label
_atom_site_type_symbol
_atom_site_fract_x
_atom_site_fract_y
_atom_site_fract_z
Sr1 Sr 0.0000 0.0000 0.0000
Tb1 Tb 0.3333 0.6667 0.6508
Pm1 Pm 0.6667 0.3333 0.3573
```

Values from the calculation:
* energy: -10.7 eV/f.u.
* energy above the lowest structure with this stoichiometry: 20.0 meV per atom

=====

No. 4
DFT (GGA-PBE) results for an optimized crystal structure of Ce6PtRh5.

CIF file:
```
data_Ce6PtRh5
_space_group_name_H-M_alt 'C 1 2/m 1'
_space_group_IT_number 12
_space_group_name_Hall '-C 2y'
_cell_length_a 6.979
_cell_length_b 12.081
_cell_length_c 6.982
_cell_angle_alpha 90.00
_cell_angle_beta 109.43
_cell_angle_gamma 90.00
loop_
_atom_site_label
_atom_site_type_symbol
_atom_site_fract_x
_atom_site_fract_y
_atom_site_fract_z
Ce1 Ce 0.244 0.000 0.250
Ce2 Ce 0.246 0.169 0.746
Pt1 Pt 0.000 0.500 0.000
Rh1 Rh 0.000 0.000 0.500
Rh2 Rh 0.000 0.167 0.000
Rh3 Rh 0.000 0.337 0.500
```

Values from the calculation:
* energy: -87.5 eV/f.u.

=====

No. 5
DFT (GGA-PBE) results for an optimized crystal structure of PuNiSe2.

CIF file:
```
data_PuNiSe2
_space_group_name_H-M_alt 'R -3 m'
_space_group_IT_number 166
_space_group_name_Hall '-R 3 2"'
_cell_length_a 3.5806
_cell_length_b 3.5806
_cell_length_c 24.9363
_cell_angle_alpha 90.00
_cell_angle_beta 90.00
_cell_angle_gamma 120.00
loop_
_atom_site_label
_atom_site_type_symbol
_atom_site_fract_x
_atom_site_fract_y
_atom_site_fract_z
Pu1 Pu 0.0000 0.0000 0.0000
Ni1 Ni 0.0000 0.0000 0.5000
Se1 Se 0.0000 0.0000 0.1148
```

Values from the calculation:
* formation energy (no corrections): -0.22 eV/atom
* energy: -28.0 eV/f.u.

=====

No. 6
DFT (GGA-PBE) results for an optimized crystal structure of PmAlNi2.

CIF file:
```
data_PmAlNi2
_space_group_name_H-M_alt 'P 4/m m m'
_space_group_IT_number 123
_space_group_name_Hall '-P 4 2'
_cell_length_a 3.140
_cell_length_b 3.140
_cell_length_c 6.598
_cell_angle_alpha 90.00
_cell_angle_beta 90.00
_cell_angle_gamma 90.00
loop_
_atom_site_label
_atom_site_type_symbol
_atom_site_fract_x
_atom_site_fract_y
_atom_site_fract_z
Pm1 Pm 0.000 0.000 0.000
Al1 Al 0.000 0.000 0.500
Ni1 Ni 0.500 0.500 0.309
```

Values from the calculation:
* energy: -21.4 eV/f.u.

=====

No. 7
DFT (GGA-PBE) results for an optimized crystal structure of RbScPb3.

CIF file:
```
data_RbScPb3
_space_group_name_H-M_alt 'P m -3 m'
_space_group_IT_number 221
_space_group_name_Hall '-P 4 2 3'
_cell_length_a 5.944
_cell_length_b 5.944
_cell_length_c 5.944
_cell_angle_alpha 90.00
_cell_angle_beta 90.00
_cell_angle_gamma 90.00
loop_
_atom_site_label
_atom_site_type_symbol
_atom_site_fract_x
_atom_site_fract_y
_atom_site_fract_z
Rb1 Rb 0.000 0.000 0.000
Sc1 Sc 0.500 0.500 0.500
Pb1 Pb 0.000 0.000 0.500
```

Values from the calculation:
* energy: -12.4 eV/f.u.
* energy above the lowest structure with this stoichiometry: 1219.2 meV per atom

=====

No. 8
DFT (GGA-PBE) results for an optimized crystal structure of AlIr2Cl.

CIF file:
```
data_AlIr2Cl
_space_group_name_H-M_alt 'R 3 m'
_space_group_IT_number 160
_space_group_name_Hall 'R 3 -2"'
_cell_length_a 2.9074
_cell_length_b 2.9074
_cell_length_c 29.2944
_cell_angle_alpha 90.00
_cell_angle_beta 90.00
_cell_angle_gamma 120.00
loop_
_atom_site_label
_atom_site_type_symbol
_atom_site_fract_x
_atom_site_fract_y
_atom_site_fract_z
Al1 Al 0.0000 0.0000 0.0000
Ir1 Ir 0.0000 0.0000 0.2698
Ir2 Ir 0.0000 0.0000 0.5287
Cl1 Cl 0.0000 0.0000 0.7244
```

Values from the calculation:
* formation energy (no corrections): -0.05 eV/atom
* energy: -23.5 eV/f.u.
* energy above the lowest structure with this stoichiometry: 0.0 meV per atom